No. 1
Below is a relaxed structure of Mg5In2Ga5, with properties calculated at the PBE-GGA level.

The calculation puts the formation energy from the elements at -82 meV per atom. As for the final energy: -2.464 eV per atom. The size of the total moment comes out at 0.0 μB/cell.

The space group is C2/m (No. 12) and the conventional cell measures 13.471, 4.193 and 10.103 Å, with angles of 90.00, 119.31 and 90.00 degrees. Symmetry generates all atoms from Mg at (0.000, 0.000, 0.000), Mg at (0.091, 0.000, 0.758), Mg at (0.162, 0.000, 0.509), In at (0.086, 0.500, 0.257), Ga at (0.000, 0.500, 0.500), Ga at (0.170, 0.500, 0.007) and Ga at (0.249, 0.000, 0.240).


No. 2
Below is a relaxed structure of CePm12Tm3, with properties calculated at the PBE-GGA level.

The calculation puts the formation energy from the elements at 32 meV per atom. As for the final energy: -4.740 eV per atom. The size of the total moment comes out at 1.1 μB/cell.

The space group is P4/mmm (No. 123) and the conventional cell measures 5.111, 5.111 and 20.422 Å, with angles of 90.00, 90.00 and 90.00 degrees. Symmetry generates all atoms from Ce at (0.000, 0.000, 0.000), Pm at (0.000, 0.500, 0.125), Pm at (0.000, 0.500, 0.375), Pm at (0.500, 0.500, 0.000), Pm at (0.500, 0.500, 0.252), Pm at (0.500, 0.500, 0.500), Tm at (0.000, 0.000, 0.250) and Tm at (0.000, 0.000, 0.500).


No. 3
Below is a relaxed structure of CuHg4I2, with properties calculated at the PBE-GGA level.

As for the final energy: -1.262 eV per atom. The size of the total moment comes out at 0.0 μB/cell. For the formation energy without anion corrections, the calculation gives -0.062 eV/atom.

The space group is I4/mmm (No. 139) and the conventional cell measures 5.283, 5.283 and 16.535 Å, with angles of 90.00, 90.00 and 90.00 degrees. Symmetry generates all atoms from Cu at (0.000, 0.000, 0.000), Hg at (0.000, 0.000, 0.153), Hg at (0.000, 0.500, 0.000) and I at (0.000, 0.000, 0.324).


No. 4
Below is a relaxed structure of Li2Si2AgPd5, with properties calculated at the PBE-GGA level.

As for the final energy: -4.849 eV per atom. The size of the total moment comes out at 0.0 μB/cell. For the formation energy without anion corrections, the calculation gives -0.500 eV/atom.

The space group is P4/mbm (No. 127) and the conventional cell measures 9.398, 9.398 and 3.560 Å, with angles of 90.00, 90.00 and 90.00 degrees. Symmetry generates all atoms from Li at (0.169, 0.331, 0.000), Si at (0.129, 0.629, 0.000), Ag at (0.000, 0.000, 0.000), Pd at (0.000, 0.500, 0.500) and Pd at (0.076, 0.791, 0.500).


No. 5
Below is a relaxed structure of Zn2MoOs, with properties calculated at the PBE-GGA level.

As for the offset from the most stable computed form: 257 meV/atom. The calculation puts the formation energy from the elements at 304 meV per atom. As for the final energy: -5.848 eV per atom. The size of the total moment comes out at 0.0 μB/cell.

The space group is I4/mmm (No. 139) and the conventional cell measures 3.750, 3.750 and 8.389 Å, with angles of 90.00, 90.00 and 90.00 degrees. Symmetry generates all atoms from Zn at (0.000, 0.500, 0.250), Mo at (0.000, 0.000, 0.000) and Os at (0.000, 0.000, 0.500).


No. 6
Below is a relaxed structure of LiTa2Rh, with properties calculated at the PBE-GGA level.

The calculation puts the formation energy from the elements at 412 meV per atom. As for the final energy: -7.830 eV per atom. The size of the total moment comes out at 0.0 μB/cell.

The space group is I-42d (No. 122) and the conventional cell measures 7.244, 7.244 and 5.357 Å, with angles of 90.00, 90.00 and 90.00 degrees. Symmetry generates all atoms from Li at (0.000, 0.000, 0.000), Ta at (0.221, 0.250, 0.625) and Rh at (0.000, 0.000, 0.500).


No. 7
Below is a relaxed structure of Pr2Nd6Er3In, with properties calculated at the PBE-GGA level.

The calculation puts the formation energy from the elements at -52 meV per atom. As for the final energy: -4.602 eV per atom. The size of the total moment comes out at 0.0 μB/cell.

The space group is C2/m (No. 12) and the conventional cell measures 6.217, 10.788 and 11.932 Å, with angles of 90.00, 100.04 and 90.00 degrees. Symmetry generates all atoms from Pr at (0.000, 0.166, 0.000), Nd at (0.241, 0.500, 0.747), Nd at (0.247, 0.337, 0.253), Er at (0.000, 0.000, 0.500), Er at (0.000, 0.333, 0.500) and In at (0.000, 0.500, 0.000).


No. 8
Below is a relaxed structure of Fe2Ni5Pt5, with properties calculated at the PBE-GGA level.

As for the offset from the most stable computed form: 0 meV/atom. The calculation puts the formation energy from the elements at -143 meV per atom. As for the final energy: -6.479 eV per atom. The size of the total moment comes out at 21.7 μB/cell.

The space group is C2/m (No. 12) and the conventional cell measures 11.464, 3.709 and 8.425 Å, with angles of 90.00, 117.22 and 90.00 degrees. Symmetry generates all atoms from Fe at (0.162, 0.000, 0.496), Ni at (0.000, 0.500, 0.500), Ni at (0.087, 0.500, 0.261), Ni at (0.166, 0.500, 0.998), Pt at (0.000, 0.000, 0.000), Pt at (0.080, 0.000, 0.746) and Pt at (0.249, 0.000, 0.259).


No. 9
Below is a relaxed structure of TbPr2Ge3Ir4, with properties calculated at the PBE-GGA level.

The calculation puts the formation energy from the elements at -773 meV per atom. As for the final energy: -7.121 eV per atom. The size of the total moment comes out at 0.0 μB/cell.

The space group is P-4m2 (No. 115) and the conventional cell measures 4.222, 4.222 and 11.277 Å, with angles of 90.00, 90.00 and 90.00 degrees. Symmetry generates all atoms from Tb at (0.000, 0.000, 0.000), Pr at (0.000, 0.500, 0.730), Ge at (0.000, 0.500, 0.379), Ge at (0.500, 0.500, 0.000), Ir at (0.000, 0.000, 0.500), Ir at (0.000, 0.500, 0.159) and Ir at (0.500, 0.500, 0.500).


No. 10
Below is a relaxed structure of NpCuBi2, with properties calculated at the PBE-GGA level.

The calculation puts the formation energy from the elements at 128 meV per atom. As for the final energy: -6.072 eV per atom. The size of the total moment comes out at 3.9 μB/cell.

The space group is P4/mmm (No. 123) and the conventional cell measures 4.810, 4.810 and 4.292 Å, with angles of 90.00, 90.00 and 90.00 degrees. Symmetry generates all atoms from Np at (0.000, 0.000, 0.000), Cu at (0.500, 0.500, 0.000) and Bi at (0.000, 0.500, 0.500).


No. 11
Below is a relaxed structure of AlIn2Cl, with properties calculated at the PBE-GGA level.

As for the offset from the most stable computed form: 88 meV/atom. As for the final energy: -2.911 eV per atom. The size of the total moment comes out at 0.0 μB/cell. For the formation energy without anion corrections, the calculation gives -0.145 eV/atom.

The space group is Immm (No. 71) and the conventional cell measures 3.119, 4.829 and 13.389 Å, with angles of 90.00, 90.00 and 90.00 degrees. Symmetry generates all atoms from Al at (0.000, 0.000, 0.000), In at (0.000, 0.500, 0.307) and Cl at (0.000, 0.000, 0.500).


No. 12
Below is a relaxed structure of Pm5Er2In4, with properties calculated at the PBE-GGA level.

As for the offset from the most stable computed form: 482 meV/atom. The calculation puts the formation energy from the elements at 199 meV per atom. As for the final energy: -3.785 eV per atom. The size of the total moment comes out at 0.0 μB/cell.

The space group is Immm (No. 71) and the conventional cell measures 3.487, 9.313 and 22.390 Å, with angles of 90.00, 90.00 and 90.00 degrees. Symmetry generates all atoms from Pm at (0.000, 0.000, 0.000), Pm at (0.000, 0.181, 0.341), Er at (0.000, 0.500, 0.383), In at (0.000, 0.171, 0.500) and In at (0.000, 0.500, 0.253).